First-principles (GGA-PBE) data for a relaxed SiTeICl2 crystal, as listed in Alexandria via LeMat-Bulk.

## Properties
density of states at the Fermi level: 0.58 states/eV/atom
symmetry: P4/mmm (123)
energy relative to the lowest polymorph listed for this composition: 0 meV per atom

Unit cell a=4.686 b=6.542 c=4.686 alpha=90.00 beta=90.00 gamma=90.00
Element x y z (fractional)
I1 0.000 0.500 0.000
Si1 0.000 0.000 0.000
Te1 0.500 0.500 0.500
Cl1 0.000 0.000 0.500
Cl2 0.500 0.000 0.000



First-principles (GGA-PBE) data for a relaxed NdSm3Y6Sc2 crystal, as listed in Alexandria via LeMat-Bulk.

## Properties
DFT formation energy: 0.0406 eV/atom
density of states at the Fermi level: 1.47 states/eV/atom
symmetry: C2/m (12)

Unit cell a=6.140 b=6.140 c=11.740 alpha=94.98 beta=94.98 gamma=119.98
Element x y z (fractional)
Nd1 0.000 0.000 0.000
Sm1 0.167 0.833 0.500
Sm2 0.833 0.167 0.500
Sm3 0.500 0.500 0.500
Y1 0.918 0.582 0.756
Y2 0.745 0.745 0.244
Y3 0.082 0.418 0.244
Y4 0.582 0.918 0.756
Y5 0.255 0.255 0.756
Y6 0.418 0.082 0.244
Sc1 0.333 0.667 0.000
Sc2 0.667 0.333 0.000



First-principles (GGA-PBE) data for a relaxed ZrNi2Pt8 crystal, as listed in Alexandria via LeMat-Bulk.

## Properties
DFT formation energy: -0.3463 eV/atom
density of states at the Fermi level: 1.58 states/eV/atom
symmetry: P-1 (2)

Unit cell a=4.834 b=4.877 c=7.322 alpha=96.42 beta=89.74 gamma=99.36
Element x y z (fractional)
Zr1 0.500 0.000 0.000
Ni1 0.128 0.821 0.271
Ni2 0.872 0.179 0.729
Pt1 0.593 0.563 0.187
Pt2 0.315 0.905 0.630
Pt3 0.225 0.363 0.451
Pt4 0.955 0.725 0.909
Pt5 0.775 0.637 0.549
Pt6 0.685 0.095 0.370
Pt7 0.407 0.437 0.813
Pt8 0.045 0.275 0.091



First-principles (GGA-PBE) data for a relaxed Ba3Sc2SbO8 crystal, as listed in Alexandria via LeMat-Bulk.

## Properties
energy: -98.396 eV for the cell shown
density of states at the Fermi level: 0.31 states/eV/atom
symmetry: P-3m1 (164)

Unit cell a=6.081 b=6.081 c=7.667 alpha=90.00 beta=90.00 gamma=120.00
Element x y z (fractional)
Ba1 0.333 0.667 0.650
Ba2 0.667 0.333 0.350
Ba3 0.000 0.000 0.000
Sc1 0.333 0.667 0.212
Sc2 0.667 0.333 0.788
Sb1 0.000 0.000 0.500
O1 0.333 0.667 0.966
O2 0.667 0.333 0.034
O3 0.161 0.839 0.327
O4 0.839 0.161 0.673
O5 0.161 0.322 0.327
O6 0.839 0.678 0.673
O7 0.678 0.839 0.327
O8 0.322 0.161 0.673



First-principles (GGA-PBE) data for a relaxed FeAg2Ir crystal, as listed in Alexandria via LeMat-Bulk.

## Properties
DFT formation energy: 0.8999 eV/atom
density of states at the Fermi level: 3.66 states/eV/atom
symmetry: Fm-3m (225)
energy relative to the lowest polymorph listed for this composition: 703 meV per atom

Unit cell a=4.418 b=4.418 c=4.418 alpha=60.00 beta=60.00 gamma=60.00
Element x y z (fractional)
Ir1 0.500 0.500 0.500
Fe1 0.000 0.000 0.000
Ag1 0.250 0.250 0.250
Ag2 0.750 0.750 0.750



First-principles (GGA-PBE) data for a relaxed Sr3VNi crystal, as listed in Alexandria via LeMat-Bulk.

## Properties
DFT formation energy: 0.5537 eV/atom
density of states at the Fermi level: 1.11 states/eV/atom
symmetry: Pm-3m (221)
energy relative to the lowest polymorph listed for this composition: 0 meV per atom

Unit cell a=5.706 b=5.706 c=5.706 alpha=90.00 beta=90.00 gamma=90.00
Element x y z (fractional)
Sr1 0.000 0.500 0.000
Sr2 0.000 0.000 0.500
Sr3 0.500 0.000 0.000
Ni1 0.000 0.000 0.000
V1 0.500 0.500 0.500



First-principles (GGA-PBE) data for a relaxed DyGaS2 crystal, as listed in Alexandria via LeMat-Bulk.

## Properties
energy: -21.347 eV for the cell shown
symmetry: R-3m (166)

Unit cell a=3.976 b=3.976 c=7.415 alpha=74.45 beta=74.45 gamma=60.00
Element x y z (fractional)
S1 0.261 0.261 0.216
S2 0.739 0.739 0.784
Ga1 0.500 0.500 0.500
Dy1 0.000 0.000 0.000



First-principles (GGA-PBE) data for a relaxed LiPr2YS4 crystal, as listed in Alexandria via LeMat-Bulk.

## Properties
energy: -49.745 eV for the cell shown
density of states at the Fermi level: 0.33 states/eV/atom
symmetry: P2/m (10)

Unit cell a=4.001 b=6.893 c=6.928 alpha=109.42 beta=90.00 gamma=90.00
Element x y z (fractional)
Li1 0.500 0.500 0.000
Pr1 0.500 0.000 0.500
Pr2 0.000 0.500 0.500
Y1 0.000 0.000 0.000
S1 0.500 0.248 0.231
S2 0.500 0.752 0.769
S3 0.000 0.257 0.767
S4 0.000 0.743 0.233



First-principles (GGA-PBE) data for a relaxed PmZrCu4 crystal, as listed in Alexandria via LeMat-Bulk.

## Properties
DFT formation energy: -0.0312 eV/atom
density of states at the Fermi level: 1.02 states/eV/atom
symmetry: F-43m (216)

Unit cell a=5.200 b=5.200 c=5.200 alpha=60.00 beta=60.00 gamma=60.00
Element x y z (fractional)
Cu1 0.626 0.626 0.122
Cu2 0.626 0.122 0.626
Cu3 0.626 0.626 0.626
Cu4 0.122 0.626 0.626
Zr1 0.000 0.000 0.000
Pm1 0.250 0.250 0.250



First-principles (GGA-PBE) data for a relaxed Nd6Y2Mg crystal, as listed in Alexandria via LeMat-Bulk.

## Properties
DFT formation energy: 0.0571 eV/atom
density of states at the Fermi level: 1.32 states/eV/atom
symmetry: C2/c (15)
energy relative to the lowest polymorph listed for this composition: 36 meV per atom

Unit cell a=6.220 b=11.617 c=11.617 alpha=48.35 beta=105.53 gamma=105.53
Element x y z (fractional)
Nd1 0.431 0.653 0.505
Nd2 0.069 0.495 0.347
Nd3 0.569 0.347 0.495
Nd4 0.931 0.505 0.653
Nd5 0.919 0.919 0.419
Nd6 0.581 0.581 0.081
Nd7 0.081 0.081 0.581
Nd8 0.419 0.419 0.919
Nd9 0.273 0.847 0.995
Nd10 0.227 0.005 0.153
Nd11 0.727 0.153 0.005
Nd12 0.773 0.995 0.847
Y1 0.442 0.829 0.671
Y2 0.058 0.329 0.171
Y3 0.558 0.171 0.329
Y4 0.942 0.671 0.829
Mg1 0.250 0.250 0.750
Mg2 0.750 0.750 0.250



First-principles (GGA-PBE) data for a relaxed LiTaRe2 crystal, as listed in Alexandria via LeMat-Bulk.

## Properties
DFT formation energy: 0.1653 eV/atom
density of states at the Fermi level: 0.69 states/eV/atom
symmetry: Immm (71)
energy relative to the lowest polymorph listed for this composition: 63 meV per atom

Unit cell a=5.157 b=5.157 c=5.157 alpha=144.47 beta=129.64 gamma=63.14
Element x y z (fractional)
Li1 0.250 0.750 0.500
Re1 0.995 0.995 0.000
Re2 0.505 0.505 0.000
Ta1 0.750 0.250 0.500



First-principles (GGA-PBE) data for a relaxed CaDyErIn crystal, as listed in Alexandria via LeMat-Bulk.

## Properties
DFT formation energy: -0.1217 eV/atom
density of states at the Fermi level: 0.89 states/eV/atom
symmetry: F-43m (216)

Unit cell a=5.473 b=5.473 c=5.473 alpha=60.00 beta=60.00 gamma=60.00
Element x y z (fractional)
Ca1 0.500 0.500 0.500
Dy1 0.750 0.750 0.750
In1 0.000 0.000 0.000
Er1 0.250 0.250 0.250



First-principles (GGA-PBE) data for a relaxed Fe2TeMo crystal, as listed in Alexandria via LeMat-Bulk.

## Properties
density of states at the Fermi level: 0.86 states/eV/atom
symmetry: F-43m (216)
energy relative to the lowest polymorph listed for this composition: 39 meV per atom

Unit cell a=4.399 b=4.399 c=4.399 alpha=60.00 beta=60.00 gamma=60.00
Element x y z (fractional)
Fe1 0.000 0.000 0.000
Fe2 0.250 0.250 0.250
Mo1 0.500 0.500 0.500
Te1 0.750 0.750 0.750



First-principles (GGA-PBE) data for a relaxed LaYBr2 crystal, as listed in Alexandria via LeMat-Bulk.

## Properties
density of states at the Fermi level: 0.39 states/eV/atom
symmetry: Pmm2 (25)
energy relative to the lowest polymorph listed for this composition: 167 meV per atom

Unit cell a=5.978 b=3.656 c=5.121 alpha=89.99 beta=90.00 gamma=90.00
Element x y z (fractional)
Y1 0.500 0.874 0.747
Br1 0.000 0.875 0.998
Br2 0.500 0.375 0.250
La1 0.000 0.375 0.505



First-principles (GGA-PBE) data for a relaxed LiFe2Hg crystal, as listed in Alexandria via LeMat-Bulk.

## Properties
DFT formation energy: 0.2714 eV/atom
density of states at the Fermi level: 0.53 states/eV/atom
symmetry: Cm (8)

Unit cell a=4.720 b=4.720 c=4.713 alpha=73.51 beta=73.51 gamma=36.11
Element x y z (fractional)
Fe1 0.017 0.017 0.964
Fe2 0.732 0.732 0.799
Hg1 0.496 0.496 0.477
Li1 0.255 0.255 0.260



First-principles (GGA-PBE) data for a relaxed Ce3Sb2Pd7 crystal, as listed in Alexandria via LeMat-Bulk.

## Properties
energy: -69.375 eV for the cell shown
density of states at the Fermi level: 1.52 states/eV/atom
symmetry: Cmmm (65)

Unit cell a=4.142 b=4.267 c=15.153 alpha=98.09 beta=90.00 gamma=90.00
Element x y z (fractional)
Ce1 0.500 0.500 0.000
Ce2 0.500 0.707 0.413
Ce3 0.500 0.293 0.587
Sb1 0.000 0.915 0.830
Sb2 0.000 0.085 0.170
Pd1 0.000 0.361 0.722
Pd2 0.000 0.789 0.578
Pd3 0.000 0.000 0.000
Pd4 0.000 0.639 0.278
Pd5 0.500 0.141 0.282
Pd6 0.500 0.859 0.718
Pd7 0.000 0.211 0.422



First-principles (GGA-PBE) data for a relaxed LaScTe crystal, as listed in Alexandria via LeMat-Bulk.

## Properties
density of states at the Fermi level: 1.04 states/eV/atom
symmetry: F-43m (216)
energy relative to the lowest polymorph listed for this composition: 435 meV per atom

Unit cell a=5.109 b=5.109 c=5.109 alpha=60.00 beta=60.00 gamma=60.00
Element x y z (fractional)
La1 0.000 0.000 0.000
Sc1 0.500 0.500 0.500
Te1 0.750 0.750 0.750



First-principles (GGA-PBE) data for a relaxed MgCuRe2Ge crystal, as listed in Alexandria via LeMat-Bulk.

## Properties
DFT formation energy: 1.2387 eV/atom
density of states at the Fermi level: 0.88 states/eV/atom
symmetry: P4/mmm (123)

Unit cell a=4.622 b=4.411 c=4.622 alpha=90.00 beta=90.00 gamma=90.00
Element x y z (fractional)
Re1 0.000 0.000 0.500
Re2 0.500 0.000 0.000
Ge1 0.000 0.000 0.000
Mg1 0.500 0.500 0.500
Cu1 0.000 0.500 0.000



First-principles (GGA-PBE) data for a relaxed Er3Zr crystal, as listed in Alexandria via LeMat-Bulk.

## Properties
DFT formation energy: 0.0809 eV/atom
density of states at the Fermi level: 1.36 states/eV/atom
symmetry: Pm-3m (221)
energy relative to the lowest polymorph listed for this composition: 26 meV per atom

Unit cell a=4.824 b=4.824 c=4.824 alpha=90.00 beta=90.00 gamma=90.00
Element x y z (fractional)
Zr1 0.000 0.000 0.000
Er1 0.000 0.500 0.500
Er2 0.500 0.000 0.500
Er3 0.500 0.500 0.000



First-principles (GGA-PBE) data for a relaxed ThTl4 crystal, as listed in Alexandria via LeMat-Bulk.

## Properties
DFT formation energy: -0.0275 eV/atom
density of states at the Fermi level: 0.63 states/eV/atom
symmetry: Imma (74)
energy relative to the lowest polymorph listed for this composition: 0 meV per atom

Unit cell a=4.993 b=6.855 c=9.445 alpha=111.28 beta=105.33 gamma=90.00
Element x y z (fractional)
Th1 0.910 0.160 0.820
Th2 0.090 0.840 0.180
Tl1 0.112 0.362 0.224
Tl2 0.888 0.638 0.776
Tl3 0.500 0.000 0.000
Tl4 0.500 0.500 0.000
Tl5 0.696 0.183 0.393
Tl6 0.304 0.817 0.607
Tl7 0.304 0.291 0.607
Tl8 0.696 0.709 0.393